(1)
DFT (PBE-GGA) results for crystalline Pr6C2Br2N at its relaxed geometry.

Results
VASP energy in eV/atom: -6.173
V in Å³ per cell: 275
DOS(E_F) in states/eV per atom: 0.429
E_form (uncorrected) in meV per atom: -827.9

```
11
Lattice="3.292 -5.683 0.000 3.292 5.683 0.000 -2.249 0.000 7.363" Properties=species:S:1:pos:R:3 pbc="T T T"
Pr 1.085 1.870 1.377
Pr -0.064 0.000 5.979
Pr 1.085 -1.870 1.377
Pr 3.249 1.870 5.986
Pr 4.398 0.000 1.384
Pr 3.249 -1.870 5.986
C 3.292 1.915 0.000
C 3.292 -1.915 0.000
Br 2.167 3.757 3.681
Br 2.167 -3.757 3.681
N 0.000 0.000 0.000
```

***

(2)
DFT (PBE-GGA) results for crystalline Rb2PtC4Br2N4 at its relaxed geometry.

Results
VASP energy in eV/atom: -6.474
V in Å³ per cell: 635
DOS(E_F) in states/eV per atom: 0.000
E_form (uncorrected) in meV per atom: -203.7

```
26
Lattice="7.442 0.000 0.000 0.000 9.752 0.000 -2.698 0.000 8.745" Properties=species:S:1:pos:R:3 pbc="T T T"
Rb -0.918 2.095 3.338
Rb -2.267 2.781 7.710
Rb 7.011 6.971 1.034
Rb 5.661 7.657 5.407
Pt 3.721 0.000 0.000
Pt 2.372 4.876 4.372
C 1.971 0.356 0.941
C 0.622 4.520 5.313
C 0.139 0.429 6.986
C 1.488 4.447 2.614
C 3.255 5.304 6.131
C 4.605 9.323 1.759
C 4.121 5.232 3.431
C 2.772 9.396 7.804
Br 1.719 7.306 4.084
Br 0.370 7.322 8.457
Br 4.373 2.430 0.288
Br 3.024 2.446 4.661
N 0.941 0.584 1.448
N -0.408 4.292 5.821
N -0.423 0.673 5.988
N 0.926 4.203 1.616
N 3.818 5.549 7.129
N 5.167 9.079 2.757
N 5.152 5.460 2.924
N 3.803 9.168 7.297
```

***

(3)
DFT (PBE-GGA) results for crystalline Rb2CBr6N at its relaxed geometry.

Results
VASP energy in eV/atom: -2.745
V in Å³ per cell: 261
DOS(E_F) in states/eV per atom: 0.299
E_form (uncorrected) in meV per atom: 207.2

```
10
Lattice="-3.428 3.428 5.563 3.428 -3.428 5.563 3.428 3.428 -5.563" Properties=species:S:1:pos:R:3 pbc="T T T"
Rb 3.428 0.000 2.782
Rb 0.000 3.428 2.782
C 0.000 0.000 0.000
Br 1.630 1.630 0.000
Br 1.797 -1.797 5.563
Br 0.000 0.000 3.180
Br 0.000 0.000 7.947
Br -1.797 1.797 5.563
Br 1.797 1.797 5.563
N 0.000 0.000 5.563
```

***

(4)
DFT (PBE-GGA) results for crystalline Sm4CBr2N at its relaxed geometry.

Results
VASP energy in eV/atom: -6.152
V in Å³ per cell: 175
DOS(E_F) in states/eV per atom: 0.245
E_form (uncorrected) in meV per atom: -1180.2

```
8
Lattice="6.447 0.000 0.000 0.000 3.724 0.000 -2.165 0.000 7.274" Properties=species:S:1:pos:R:3 pbc="T T T"
Sm 1.060 0.000 1.297
Sm -0.034 1.862 5.964
Sm 4.316 1.862 1.310
Sm 3.222 0.000 5.977
C 3.223 0.000 0.000
Br -1.083 0.000 3.637
Br 2.141 1.862 3.637
N 0.000 1.862 0.000
```

***

Question: What is the formula in the second record?
Answer: Rb2PtC4Br2N4

***

Question: The lowest V belongs to which entry?
Answer: Sm4CBr2N

***

Question: Which formula does entry 4 have?
Answer: Sm4CBr2N

***

Question: Among the records above, which one has the highest E_form (uncorrected)?
Answer: Rb2CBr6N